VASP calculation (PBE-GGA) on Sm2Cu2Ni5Ge after structural relaxation.

Properties
- calculated formation energy (eV per formula unit) = -2.48

Cell lengths 9.132, 9.132, 3.609 Å; angles 90.00, 90.00, 90.00 degrees
Atoms (fractional coordinates):
Sm (0.179, 0.321, 0.000)
Sm (0.321, 0.821, 0.000)
Sm (0.679, 0.179, 0.000)
Sm (0.821, 0.679, 0.000)
Cu (0.118, 0.618, 0.000)
Cu (0.382, 0.118, 0.000)
Cu (0.618, 0.882, 0.000)
Cu (0.882, 0.382, 0.000)
Ni (0.000, 0.500, 0.500)
Ni (0.057, 0.799, 0.500)
Ni (0.201, 0.057, 0.500)
Ni (0.299, 0.557, 0.500)
Ni (0.443, 0.299, 0.500)
Ni (0.500, 0.000, 0.500)
Ni (0.557, 0.701, 0.500)
Ni (0.701, 0.443, 0.500)
Ni (0.799, 0.943, 0.500)
Ni (0.943, 0.201, 0.500)
Ge (0.000, 0.000, 0.000)
Ge (0.500, 0.500, 0.000)

VASP calculation (PBE-GGA) on ZrNb2Se5 after structural relaxation.

Properties
- uncorrected formation energy (meV/atom) = -723
- energy above the lowest structure with this stoichiometry (meV per atom) = 89.0

Cell lengths 9.604, 7.259, 7.170 Å; angles 83.46, 48.66, 47.88 degrees
Atoms (fractional coordinates):
Zr (0.000, 0.000, 0.000)
Nb (0.310, 0.310, 0.690)
Nb (0.690, 0.690, 0.310)
Se (0.039, 0.288, 0.712)
Se (0.288, 0.039, 0.961)
Se (0.500, 0.500, 0.500)
Se (0.712, 0.961, 0.039)
Se (0.961, 0.712, 0.288)

VASP calculation (PBE-GGA) on MgMn2Tl after structural relaxation.

Properties
- calculated formation energy (eV per formula unit) = 1.46

Cell lengths 5.276, 5.276, 5.276 Å; angles 135.27, 135.27, 65.12 degrees
Atoms (fractional coordinates):
Mg (0.000, 0.000, 0.000)
Mn (0.250, 0.750, 0.500)
Mn (0.500, 0.500, 0.000)
Tl (0.750, 0.250, 0.500)

VASP calculation (PBE-GGA) on Na3Fe after structural relaxation.

Properties
- calculated formation energy (eV per formula unit) = 2.79

Cell lengths 6.729, 6.729, 5.420 Å; angles 90.00, 90.00, 120.00 degrees
Atoms (fractional coordinates):
Na (0.175, 0.350, 0.250)
Na (0.175, 0.825, 0.250)
Na (0.350, 0.175, 0.750)
Na (0.650, 0.825, 0.250)
Na (0.825, 0.175, 0.750)
Na (0.825, 0.650, 0.750)
Fe (0.333, 0.667, 0.750)
Fe (0.667, 0.333, 0.250)

VASP calculation (PBE-GGA) on Mo3Pb after structural relaxation.

Properties
- calculated formation energy (eV per formula unit) = 4.49

Cell lengths 8.844, 8.844, 2.963 Å; angles 90.00, 90.00, 124.10 degrees
Atoms (fractional coordinates):
Mo (0.051, 0.640, 0.750)
Mo (0.067, 0.933, 0.750)
Mo (0.360, 0.949, 0.750)
Mo (0.640, 0.051, 0.250)
Mo (0.933, 0.067, 0.250)
Mo (0.949, 0.360, 0.250)
Pb (0.371, 0.629, 0.250)
Pb (0.629, 0.371, 0.750)

VASP calculation (PBE-GGA) on RbPaCu2Se4 after structural relaxation.

Properties
- uncorrected formation energy (meV/atom) = -722

Cell lengths 6.954, 6.954, 6.954 Å; angles 123.56, 106.67, 99.23 degrees
Atoms (fractional coordinates):
Rb (0.000, 0.000, 0.000)
Pa (0.500, 0.500, 0.000)
Cu (0.362, 0.862, 0.500)
Cu (0.638, 0.138, 0.500)
Se (0.142, 0.084, 0.583)
Se (0.499, 0.916, 0.058)
Se (0.501, 0.559, 0.417)
Se (0.858, 0.441, 0.942)

VASP calculation (PBE-GGA) on In4Te after structural relaxation.

Properties
- uncorrected formation energy (meV/atom) = 237
- energy above the lowest structure with this stoichiometry (meV per atom) = 0.0

Cell lengths 6.301, 6.301, 6.301 Å; angles 109.47, 109.47, 109.47 degrees
Atoms (fractional coordinates):
In (0.000, 0.000, 0.500)
In (0.000, 0.500, 0.000)
In (0.500, 0.000, 0.000)
In (0.500, 0.500, 0.500)
Te (0.000, 0.000, 0.000)

VASP calculation (PBE-GGA) on Li2PuPaN4 after structural relaxation.

Properties
- uncorrected formation energy (meV/atom) = -1047

Cell lengths 5.415, 3.503, 6.097 Å; angles 90.00, 112.51, 90.00 degrees
Atoms (fractional coordinates):
Li (0.000, 0.000, 0.000)
Li (0.000, 0.500, 0.500)
Pu (0.500, 0.000, 0.500)
Pa (0.500, 0.500, 0.000)
N (0.293, 0.500, 0.268)
N (0.294, 0.000, 0.759)
N (0.706, 0.000, 0.241)
N (0.707, 0.500, 0.732)

VASP calculation (PBE-GGA) on Li7Zn3Ag2 after structural relaxation.

Properties
- calculated formation energy (eV per formula unit) = -1.08

Cell lengths 4.585, 2.822, 15.212 Å; angles 90.00, 95.67, 90.00 degrees
Atoms (fractional coordinates):
Li (0.000, 0.000, 0.000)
Li (0.117, 0.500, 0.201)
Li (0.262, 0.500, 0.536)
Li (0.404, 0.000, 0.858)
Li (0.596, 0.000, 0.142)
Li (0.738, 0.500, 0.464)
Li (0.883, 0.500, 0.799)
Zn (0.185, 0.000, 0.371)
Zn (0.500, 0.500, 0.000)
Zn (0.815, 0.000, 0.629)
Ag (0.349, 0.500, 0.704)
Ag (0.651, 0.500, 0.296)

VASP calculation (PBE-GGA) on CsNaTlIn after structural relaxation.

Properties
- calculated formation energy (eV per formula unit) = 0.05
- energy above the lowest structure with this stoichiometry (meV per atom) = 99.2

Cell lengths 5.873, 5.873, 5.873 Å; angles 60.00, 60.00, 60.00 degrees
Atoms (fractional coordinates):
Cs (0.000, 0.000, 0.000)
Na (0.250, 0.250, 0.250)
Tl (0.750, 0.750, 0.750)
In (0.500, 0.500, 0.500)

VASP calculation (PBE-GGA) on TaCr2BBr after structural relaxation.

Properties
- uncorrected formation energy (meV/atom) = 1537

Cell lengths 4.940, 4.940, 4.291 Å; angles 90.00, 90.00, 90.00 degrees
Atoms (fractional coordinates):
Ta (0.000, 0.000, 0.000)
Cr (0.000, 0.500, 0.000)
Cr (0.500, 0.000, 0.000)
B (0.000, 0.000, 0.500)
Br (0.500, 0.500, 0.500)

VASP calculation (PBE-GGA) on Mg2CdRe after structural relaxation.

Properties
- calculated formation energy (eV per formula unit) = 1.48

Cell lengths 5.763, 5.763, 5.763 Å; angles 149.88, 130.11, 59.39 degrees
Atoms (fractional coordinates):
Mg (0.000, 0.000, 0.000)
Mg (0.730, 0.230, 0.500)
Cd (0.476, 0.476, 0.000)
Re (0.234, 0.734, 0.500)

So what do the calculations give for magnetic moment? Going down the list: 0.0; 0.0; 6.9; 3.0; 0.0; 0.0; 0.0; 3.0; 0.0; 0.0; 5.4; 0.0 μB/f.u..